Computed, not measured: H2OsCl after structural relaxation at the PBE-GGA level of DFT.

## Properties
- V (Å³/cell) = 90.2
- raw total energy (eV for the cell shown) = -33.3
- DOS at the Fermi energy (states/eV per atom) = 0.407

The structure in CIF format:
```
data_H2OsCl
_space_group_name_H-M_alt 'P 1'
_space_group_IT_number 1
_cell_length_a 5.127
_cell_length_b 5.127
_cell_length_c 4.992
_cell_angle_alpha 59.10
_cell_angle_beta 59.10
_cell_angle_gamma 90.00
loop_
_space_group_symop_operation_xyz
'x,y,z'
loop_
_atom_site_label
_atom_site_fract_x
_atom_site_fract_y
_atom_site_fract_z
H1 0.875 0.982 0.750
Os1 0.000 0.000 0.000
H2 0.018 0.625 0.250
H3 0.732 0.125 0.250
H4 0.375 0.268 0.750
Cl1 0.500 0.500 0.000
Cl2 0.250 0.750 0.500
Os2 0.750 0.250 0.500
```